Computed, not measured: an optimized crystal structure of Pm3CoCu2 at the PBE-GGA level of DFT.

Cell lengths 3.5010, 3.5010, 10.7629 Å; angles 90.00, 90.00, 90.00 degrees
With the nearest neighbours (Å) after each atom.
Positions (direct):
Pm 0.0000 0.0000 0.0000  8 Cu 3.06
Pm 0.0000 0.0000 0.6581  4 Co 3.00, 4 Cu 3.10
Pm 0.0000 0.0000 0.3419  4 Co 3.00, 4 Cu 3.10
Co 0.5000 0.5000 0.5000  8 Pm 3.00
Cu 0.5000 0.5000 0.8322  8 Pm 3.06-3.10
Cu 0.5000 0.5000 0.1678  8 Pm 3.06-3.10

Crystal system = tetragonal
Total DFT energy (no corrections) = -30.2 eV per cell



Computed, not measured: an optimized crystal structure of CuSb2Pt9 at the PBE-GGA level of DFT.

Cell lengths 4.0247, 4.0247, 12.1054 Å; angles 90.00, 90.00, 90.00 degrees
With the nearest neighbours (Å) after each atom.
Positions (direct):
Cu 0.0000 0.0000 0.0000  12 Pt 2.76-2.85
Sb 0.0000 0.0000 0.3156  12 Pt 2.79-3.01
Sb 0.0000 0.0000 0.6844  12 Pt 2.79-3.01
Pt 0.5000 0.5000 0.0000  8 Pt 2.76, 4 Cu 2.85
Pt 0.5000 0.5000 0.3349  8 Pt 2.84-2.95, 4 Sb 2.86
Pt 0.5000 0.5000 0.6651  8 Pt 2.84-2.95, 4 Sb 2.86
Pt 0.5000 0.0000 0.1564  2 Cu 2.76, 8 Pt 2.76-2.95, 2 Sb 2.79
Pt 0.5000 0.0000 0.5000  8 Pt 2.84-2.85, 4 Sb 3.01
Pt 0.5000 0.0000 0.8436  2 Cu 2.76, 8 Pt 2.76-2.95, 2 Sb 2.79
Pt 0.0000 0.5000 0.1564  8 Pt 2.76-2.95, 2 Cu 2.76, 2 Sb 2.79
Pt 0.0000 0.5000 0.5000  8 Pt 2.84-2.85, 4 Sb 3.01
Pt 0.0000 0.5000 0.8436  8 Pt 2.76-2.95, 2 Cu 2.76, 2 Sb 2.79

Crystal system = tetragonal
E_form (uncorrected) = -195 meV/atom



Computed, not measured: an optimized crystal structure of ScSeI at the PBE-GGA level of DFT.

Cell lengths 6.9928, 4.0067, 15.7707 Å; angles 90.00, 114.01, 90.00 degrees
With the nearest neighbours (Å) after each atom.
Positions (direct):
Sc 0.2202 0.0000 0.2540  3 Se 2.62-2.63
Sc 0.7798 0.0000 0.7460  3 Se 2.62-2.63
Sc 0.2202 0.5000 0.7540  3 Se 2.62-2.63
Sc 0.7798 0.5000 0.2460  3 Se 2.62-2.63
Se 0.8189 0.0000 0.1457  3 Sc 2.62-2.63
Se 0.1811 0.0000 0.8543  3 Sc 2.62-2.63
Se 0.8189 0.5000 0.6457  3 Sc 2.62-2.63
Se 0.1811 0.5000 0.3543  3 Sc 2.62-2.63
I 0.6904 0.0000 0.3695  3 Sc 3.03-3.04
I 0.3096 0.0000 0.6305  3 Sc 3.03-3.04
I 0.6904 0.5000 0.8695  3 Sc 3.03-3.04
I 0.3096 0.5000 0.1305  3 Sc 3.03-3.04

Crystal system = monoclinic
E_form (uncorrected) = -1481 meV/atom



Computed, not measured: an optimized crystal structure of La4IrSe2I at the PBE-GGA level of DFT.

Cell lengths 4.2482, 7.6150, 7.7962 Å; angles 71.41, 90.00, 90.00 degrees
With the nearest neighbours (Å) after each atom.
Positions (direct):
La 0.0000 0.7686 0.7261  3 Se 2.96-3.17, 1 Ir 3.10, 2 I 3.24
La 0.0000 0.2314 0.2739  3 Se 2.96-3.17, 1 Ir 3.10, 2 I 3.24
La 0.5000 0.7274 0.2866  2 Ir 2.91, 1 Se 3.05, 1 I 3.23
La 0.5000 0.2726 0.7134  2 Ir 2.91, 1 Se 3.05, 1 I 3.23
Ir 0.0000 0.5000 0.5000  6 La 2.91-3.10
Se 0.0000 0.0000 0.0000  6 La 3.17-3.29
Se 0.5000 0.0000 0.5000  6 La 2.96-3.05
I 0.5000 0.5000 0.0000  6 La 3.23-3.24

Crystal system = monoclinic
E_form (uncorrected) = -1419 meV/atom



Computed, not measured: an optimized crystal structure of LiInPb at the PBE-GGA level of DFT.

Cell lengths 5.6319, 5.6319, 6.1350 Å; angles 90.00, 90.00, 130.22 degrees
With the nearest neighbours (Å) after each atom.
Positions (direct):
Pb 0.3032 0.6968 0.2500  5 Li 3.08-3.21
Pb 0.6968 0.3032 0.7500  5 Li 3.08-3.21
Li 0.6047 0.3953 0.2500  4 In 3.02, 5 Pb 3.08-3.21
Li 0.3953 0.6047 0.7500  4 In 3.02, 5 Pb 3.08-3.21
In 0.0000 0.0000 0.0000  4 Li 3.02, 2 In 3.07
In 0.0000 0.0000 0.5000  4 Li 3.02, 2 In 3.07

Crystal system = orthorhombic
Total DFT energy (no corrections) = -17.5 eV per cell



Computed, not measured: an optimized crystal structure of NaSnBiPb2 at the PBE-GGA level of DFT.

Cell lengths 7.2051, 7.0456, 7.8894 Å; angles 116.52, 90.00, 90.00 degrees
With the nearest neighbours (Å) after each atom.
Positions (direct):
Na 0.7500 0.7555 0.5109  4 Bi 3.74-3.86, 4 Sn 3.93-3.94
Na 0.2500 0.2445 0.4891  4 Bi 3.74-3.86, 4 Sn 3.93-3.94
Sn 0.2500 0.8678 0.7355  1 Bi 2.98, 4 Pb 3.15
Sn 0.7500 0.1322 0.2645  1 Bi 2.98, 4 Pb 3.15
Bi 0.2500 0.6564 0.3128  1 Sn 2.98, 4 Pb 3.33
Bi 0.7500 0.3436 0.6872  1 Sn 2.98, 4 Pb 3.33
Pb 0.5000 0.2545 0.0000  2 Sn 3.15, 2 Bi 3.33, 1 Pb 3.46
Pb 0.0000 0.7455 0.0000  2 Sn 3.15, 2 Bi 3.33, 1 Pb 3.46
Pb 0.5000 0.7455 0.0000  2 Sn 3.15, 2 Bi 3.33, 1 Pb 3.46
Pb 0.0000 0.2545 0.0000  2 Sn 3.15, 2 Bi 3.33, 1 Pb 3.46

Crystal system = orthorhombic
Total DFT energy (no corrections) = -33.5 eV per cell



Computed, not measured: an optimized crystal structure of K2ScAu2 at the PBE-GGA level of DFT.

Cell lengths 7.3010, 7.3010, 5.5387 Å; angles 90.00, 90.00, 90.00 degrees
With the nearest neighbours (Å) after each atom.
Positions (direct):
Sc 0.0000 0.0000 0.0000  4 Au 2.83
Sc 0.5000 0.5000 0.0000  4 Au 2.83
K 0.1684 0.6684 0.5000  6 Au 3.42-3.56, 1 K 3.48
K 0.6684 0.8316 0.5000  6 Au 3.42-3.56, 1 K 3.48
K 0.8316 0.3316 0.5000  6 Au 3.42-3.56, 1 K 3.48
K 0.3316 0.1684 0.5000  6 Au 3.42-3.56, 1 K 3.48
Au 0.3631 0.8631 0.0000  1 Au 2.83, 2 Sc 2.83
Au 0.8631 0.6369 0.0000  1 Au 2.83, 2 Sc 2.83
Au 0.6369 0.1369 0.0000  1 Au 2.83, 2 Sc 2.83
Au 0.1369 0.3631 0.0000  1 Au 2.83, 2 Sc 2.83

Crystal system = tetragonal
Total DFT energy (no corrections) = -31.7 eV per cell



Computed, not measured: an optimized crystal structure of Sr2Ni3Ge4Ir at the PBE-GGA level of DFT.

Cell lengths 4.1655, 4.1655, 10.3363 Å; angles 90.00, 90.00, 90.00 degrees
With the nearest neighbours (Å) after each atom.
Positions (direct):
Sr 0.5000 0.0000 0.2427  6 Ni 3.19-3.38, 8 Ge 3.22-3.26, 2 Ir 3.38
Sr 0.0000 0.5000 0.7573  6 Ni 3.19-3.38, 8 Ge 3.22-3.26, 2 Ir 3.38
Ni 0.0000 0.0000 0.5000  4 Ge 2.49
Ni 0.5000 0.0000 0.8755  5 Ge 2.45-2.51
Ni 0.0000 0.5000 0.1245  5 Ge 2.45-2.51
Ge 0.5000 0.5000 0.0000  4 Ni 2.45
Ge 0.0000 0.0000 0.0000  4 Ni 2.45
Ge 0.5000 0.0000 0.6323  3 Ni 2.49-2.51, 2 Ir 2.49
Ge 0.0000 0.5000 0.3677  3 Ni 2.49-2.51, 2 Ir 2.49
Ir 0.5000 0.5000 0.5000  4 Ge 2.49

Crystal system = tetragonal
Total DFT energy (no corrections) = -53.3 eV per cell



DOS at the Fermi energy list, top to bottom, in states/eV per atom: 0.680, 0.565, 0.000, 0.786, 0.416, 0.218, 1.142, 0.464